Record 1
Ba2LaW | PBE | optimized geometry

SG: P4/mmm (123)
DFT formation energy: 1.11 eV/atom
Relative energy among the computed polymorphs: 144 kJ/mol of formula units
Total moment: 0.000 μB/cell

a = 3.362 Å, b = 3.362 Å, c = 12.007 Å
α = 90.00°, β = 90.00°, γ = 90.04°
Positions (direct):
W1 0.500 0.500 0.750
Ba1 0.000 0.000 0.545
Ba2 0.000 0.000 0.955
La1 0.500 0.500 0.250



Record 2
Pm2YScP4 | PBE | optimized geometry

SG: P2/m (10)
DFT formation energy: -1.53 eV/atom
Total moment: 0.000 μB/cell

a = 4.020 Å, b = 6.953 Å, c = 6.941 Å
α = 109.51°, β = 90.00°, γ = 90.00°
Positions (direct):
Pm1 0.500 0.000 0.500
Pm2 0.000 0.500 0.500
P1 0.500 0.238 0.233
P2 0.500 0.762 0.767
P3 0.000 0.247 0.762
P4 0.000 0.753 0.238
Y1 0.500 0.500 0.000
Sc1 0.000 0.000 0.000



Record 3
AgOF3 | PBE | optimized geometry

SG: P2/c (13)
Formation energy without anion corrections: -0.721 eV/atom
Relative energy among the computed polymorphs: 0 kJ/mol of formula units
Total moment: 4.044 μB/cell

a = 5.872 Å, b = 5.341 Å, c = 11.780 Å
α = 92.00°, β = 90.00°, γ = 90.00°
Site moments in Bohr magnetons follow the coordinates.
Positions (direct):
Ag1 0.226 0.921 0.064  0.06
Ag2 0.774 0.421 0.564  0.06
Ag3 0.774 0.079 0.936  0.06
Ag4 0.226 0.579 0.436  0.06
F1 0.496 0.588 0.616  0.02
F2 0.675 0.117 0.633  0.03
F3 0.504 0.412 0.384  0.02
F4 0.078 0.229 0.992  0.01
F5 0.325 0.617 0.133  0.03
F6 0.078 0.271 0.508  0.01
F7 0.922 0.729 0.492  0.01
F8 0.496 0.912 0.884  0.02
F9 0.325 0.883 0.367  0.03
F10 0.922 0.771 0.008  0.01
F11 0.504 0.088 0.116  0.02
F12 0.675 0.383 0.867  0.03
O1 0.226 0.360 0.764  0.71
O2 0.774 0.860 0.264  0.71
O3 0.226 0.140 0.736  0.71
O4 0.774 0.640 0.236  0.71



Record 4
TbHo2Ga9 | PBE | optimized geometry

SG: P4/mmm (123)
DFT formation energy: -0.53 eV/atom
Total moment: 0.000 μB/cell

a = 4.268 Å, b = 4.268 Å, c = 12.802 Å
α = 90.00°, β = 90.00°, γ = 90.00°
Positions (direct):
Ga1 0.500 0.500 0.000
Ga2 0.500 0.000 0.500
Ga3 0.500 0.500 0.667
Ga4 0.500 0.000 0.168
Ga5 0.000 0.500 0.832
Ga6 0.500 0.000 0.832
Ga7 0.000 0.500 0.168
Ga8 0.000 0.500 0.500
Ga9 0.500 0.500 0.333
Ho1 0.000 0.000 0.334
Ho2 0.000 0.000 0.666
Tb1 0.000 0.000 0.000



Record 5
Ho12Tl3Cd | PBE | optimized geometry

SG: P4/mmm (123)
DFT formation energy: -0.15 eV/atom
Total moment: 3.082 μB/cell

a = 4.829 Å, b = 4.829 Å, c = 19.314 Å
α = 90.00°, β = 90.00°, γ = 90.00°
Site moments in Bohr magnetons follow the coordinates.
Positions (direct):
Cd1 0.000 0.000 0.000  0.00
Ho1 0.500 0.500 0.000  0.15
Ho2 0.000 0.500 0.124  0.20
Ho3 0.500 0.500 0.751  0.21
Ho4 0.500 0.000 0.625  0.23
Ho5 0.000 0.500 0.876  0.20
Ho6 0.500 0.000 0.876  0.20
Ho7 0.500 0.000 0.124  0.20
Ho8 0.500 0.500 0.249  0.21
Ho9 0.000 0.500 0.375  0.23
Ho10 0.500 0.500 0.500  0.23
Ho11 0.000 0.500 0.625  0.23
Ho12 0.500 0.000 0.375  0.23
Tl1 0.000 0.000 0.751  -0.01
Tl2 0.000 0.000 0.249  -0.01
Tl3 0.000 0.000 0.500  -0.01



Record 6
Ti2GeC | PBE | optimized geometry

SG: P6_3/mmc (194)
DFT formation energy: -0.80 eV/atom
Relative energy among the computed polymorphs: 0 kJ/mol of formula units
Total moment: 0.000 μB/cell

a = 3.087 Å, b = 3.087 Å, c = 13.052 Å
α = 90.00°, β = 90.00°, γ = 120.00°
Positions (direct):
Ge1 0.667 0.333 0.250
Ge2 0.333 0.667 0.750
Ti1 0.333 0.667 0.411
Ti2 0.667 0.333 0.911
Ti3 0.667 0.333 0.589
Ti4 0.333 0.667 0.089
C1 0.000 0.000 0.500
C2 0.000 0.000 0.000



Record 7
Na2Ge2Au3 | PBE | optimized geometry

SG: C2/m (12)
DFT formation energy: -0.27 eV/atom
Relative energy among the computed polymorphs: 0 kJ/mol of formula units
Total moment: 0.000 μB/cell

a = 4.520 Å, b = 5.920 Å, c = 6.489 Å
α = 110.41°, β = 90.00°, γ = 112.44°
Positions (direct):
Au1 0.000 0.000 0.000
Au2 0.297 0.593 0.161
Au3 0.703 0.407 0.839
Na1 0.376 0.753 0.674
Na2 0.624 0.247 0.326
Ge1 0.906 0.813 0.306
Ge2 0.094 0.187 0.694



Record 8
La7PrIn4 | PBE | optimized geometry

SG: C2/m (12)
DFT formation energy: -0.19 eV/atom
Total moment: 0.212 μB/cell

a = 5.990 Å, b = 9.808 Å, c = 7.957 Å
α = 77.72°, β = 67.89°, γ = 72.22°
Site moments in Bohr magnetons follow the coordinates.
Positions (direct):
In1 0.558 0.240 0.644  0.00
In2 0.684 0.668 0.963  0.00
In3 0.316 0.332 0.037  0.00
In4 0.442 0.760 0.356  0.00
Pr1 0.000 0.000 0.000  0.09
La1 0.940 0.380 0.740  0.00
La2 0.292 0.642 0.774  0.00
La3 0.500 0.000 0.000  0.07
La4 0.798 0.880 0.525  0.00
La5 0.060 0.620 0.260  0.00
La6 0.708 0.358 0.226  0.00
La7 0.202 0.120 0.475  0.00



Record 9
Na4La3GeO8 | PBE | optimized geometry

SG: R-3m (166)
Formation energy without anion corrections: -2.250 eV/atom
Total moment: 0.000 μB/cell

a = 7.107 Å, b = 6.963 Å, c = 7.106 Å
α = 120.70°, β = 120.00°, γ = 90.00°
Positions (direct):
La1 0.500 0.500 0.500
La2 0.000 0.500 0.500
La3 0.500 0.500 0.000
O1 0.775 0.287 0.551
O2 0.776 0.288 0.012
O3 0.740 0.719 0.479
O4 0.224 0.712 0.988
O5 0.764 0.712 0.988
O6 0.260 0.281 0.521
O7 0.236 0.288 0.012
O8 0.225 0.713 0.449
Ge1 0.000 0.500 0.000
Na1 0.500 0.000 0.500
Na2 0.000 0.000 0.500
Na3 0.500 0.000 0.000
Na4 0.000 0.000 0.000



Record 10
Ce2Zn12Cu5 | PBE | optimized geometry

SG: R-3m (166)
DFT formation energy: -0.20 eV/atom
Total moment: 1.606 μB/cell

a = 6.736 Å, b = 6.736 Å, c = 6.736 Å
α = 82.81°, β = 82.81°, γ = 82.81°
Site moments in Bohr magnetons follow the coordinates.
Positions (direct):
Ce1 0.659 0.659 0.659  0.65
Ce2 0.341 0.341 0.341  0.65
Zn1 0.654 0.654 0.146  0.00
Zn2 0.654 0.146 0.654  0.00
Zn3 0.854 0.346 0.346  0.00
Zn4 0.146 0.654 0.654  0.00
Zn5 0.712 0.000 0.288  0.00
Zn6 0.288 0.000 0.712  0.00
Zn7 0.288 0.712 0.000  0.00
Zn8 0.346 0.854 0.346  0.00
Zn9 0.712 0.288 0.000  0.00
Zn10 0.000 0.288 0.712  0.00
Zn11 0.346 0.346 0.854  0.00
Zn12 0.000 0.712 0.288  0.00
Cu1 0.103 0.103 0.103  0.00
Cu2 0.000 0.500 0.000  0.01
Cu3 0.897 0.897 0.897  0.00
Cu4 0.500 0.000 0.000  0.01
Cu5 0.000 0.000 0.500  0.01



Record 11
HoLuOsPt | PBE | optimized geometry

SG: F-43m (216)
DFT formation energy: -0.73 eV/atom
Total moment: 0.000 μB/cell

a = 4.808 Å, b = 4.808 Å, c = 4.808 Å
α = 60.00°, β = 60.00°, γ = 60.00°
Positions (direct):
Ho1 0.000 0.000 0.000
Os1 0.250 0.250 0.250
Pt1 0.750 0.750 0.750
Lu1 0.500 0.500 0.500



Record 12
Nd3YTl | PBE | optimized geometry

SG: C2/m (12)
DFT formation energy: -0.11 eV/atom
Relative energy among the computed polymorphs: 12 kJ/mol of formula units
Total moment: 0.000 μB/cell

a = 5.620 Å, b = 6.802 Å, c = 10.225 Å
α = 68.23°, β = 74.05°, γ = 65.60°
Positions (direct):
Nd1 0.654 0.724 0.968
Nd2 0.346 0.276 0.032
Nd3 0.863 0.671 0.602
Nd4 0.215 0.854 0.717
Nd5 0.785 0.146 0.283
Nd6 0.137 0.329 0.398
Tl1 0.945 0.233 0.877
Tl2 0.055 0.767 0.123
Y1 0.455 0.740 0.351
Y2 0.545 0.260 0.649